GaPH PBE relaxed; SG = No. 5; total DFT energy (no corrections) = -0.1426 hartree per atom; D(E_F) = 0.2 states/eV/f.u.
1.0
10.114 0.000 0.000
0.000 4.385 0.000
-0.785 0.000 4.591
Ga P H
4 4 4
direct
0.248 0.000 0.138
0.252 0.500 0.862
0.748 0.500 0.138
0.752 0.000 0.862
0.103 0.282 0.440
0.397 0.782 0.560
0.603 0.782 0.440
0.897 0.282 0.560
0.077 0.544 0.255
0.423 0.044 0.745
0.577 0.044 0.255
0.923 0.544 0.745